1.
The following is a DFT calculation (meta-GGA SCAN) of a PBEsol-optimized structure of RbAlN3.

Structure (CIF):
```
data_RbAlN3
_chemical_formula_sum 'Rb1 Al1 N3'
_cell_length_a 4.441
_cell_length_b 4.441
_cell_length_c 4.441
_cell_angle_alpha 90.00
_cell_angle_beta 90.00
_cell_angle_gamma 90.00
_space_group_name_H-M_alt 'P m -3 m'
_space_group_IT_number 221
_space_group_name_Hall '-P 4 2 3'
loop_
_atom_site_label
_atom_site_fract_x
_atom_site_fract_y
_atom_site_fract_z
Rb1 0.000 0.000 0.000
Al1 0.500 0.500 0.500
N1 0.000 0.000 0.500
```

Results
Mass density (kg/m3): 2928
Volume (A^3/atom): 17.52
Formation energy from raw total energies (eV per atom): 3.2380

2.
The following is a DFT calculation (meta-GGA SCAN) of a PBEsol-optimized structure of TaH6C2SeCl5.

Structure (CIF):
```
data_TaH6C2SeCl5
_chemical_formula_sum 'Ta4 H24 C8 Se4 Cl20'
_cell_length_a 8.252
_cell_length_b 11.977
_cell_length_c 11.151
_cell_angle_alpha 90.00
_cell_angle_beta 90.00
_cell_angle_gamma 90.00
_space_group_name_H-M_alt 'C m c 21'
_space_group_IT_number 36
loop_
_space_group_symop_operation_xyz
'x,y,z'
'-x,-y,z+1/2'
'-x,y,z'
'x,-y,z+1/2'
'x+1/2,y+1/2,z'
'-x+1/2,-y+1/2,z+1/2'
'-x+1/2,y+1/2,z'
'x+1/2,-y+1/2,z+1/2'
loop_
_atom_site_label
_atom_site_fract_x
_atom_site_fract_y
_atom_site_fract_z
Ta1 0.000 0.206 0.000
H1 0.164 0.373 0.750
H2 0.164 0.477 0.271
H3 0.211 0.064 0.364
C1 0.175 0.442 0.814
Se1 0.000 0.431 0.931
Cl1 0.000 0.021 0.054
Cl2 0.000 0.173 0.795
Cl3 0.000 0.281 0.193
Cl4 0.221 0.270 0.496
```

Results
VASP energy (eV per cell): -711.9
Mass density (kg/m3): 2816
Volume (A^3/atom): 18.37

3.
The following is a DFT calculation (meta-GGA SCAN) of a PBEsol-optimized structure of MnP5O15.

Structure (CIF):
```
data_MnP5O15
_chemical_formula_sum 'Mn2 P10 O30'
_cell_length_a 4.992
_cell_length_b 13.373
_cell_length_c 8.900
_cell_angle_alpha 90.00
_cell_angle_beta 101.71
_cell_angle_gamma 90.00
_space_group_name_H-M_alt 'P 1 21/m 1'
_space_group_IT_number 11
loop_
_space_group_symop_operation_xyz
'x,y,z'
'-x,-y,-z'
'-x,y+1/2,-z'
'x,-y+1/2,z'
loop_
_atom_site_label
_atom_site_fract_x
_atom_site_fract_y
_atom_site_fract_z
Mn1 0.000 0.000 0.000
P1 0.009 0.250 0.500
P2 0.149 0.070 0.684
P3 0.498 0.139 0.974
O1 0.015 0.523 0.206
O2 0.044 0.660 0.392
O3 0.190 0.750 0.652
O4 0.197 0.621 0.986
O5 0.272 0.008 0.582
O6 0.294 0.250 0.467
O7 0.330 0.071 0.057
O8 0.390 0.137 0.796
O9 0.447 0.250 0.024
```

Results
Mass density (kg/m3): 2568
Volume (A^3/atom): 13.85
Formation energy from raw total energies (eV per atom): -2.1098

4.
The following is a DFT calculation (meta-GGA SCAN) of a PBEsol-optimized structure of Na3FeBi.

Structure (CIF):
```
data_Na3FeBi
_chemical_formula_sum 'Na3 Fe1 Bi1'
_cell_length_a 5.857
_cell_length_b 5.857
_cell_length_c 5.857
_cell_angle_alpha 90.00
_cell_angle_beta 90.00
_cell_angle_gamma 90.00
_space_group_name_H-M_alt 'P m -3 m'
_space_group_IT_number 221
_space_group_name_Hall '-P 4 2 3'
loop_
_atom_site_label
_atom_site_fract_x
_atom_site_fract_y
_atom_site_fract_z
Na1 0.000 0.000 0.500
Fe1 0.500 0.500 0.500
Bi1 0.000 0.000 0.000
```

Results
Mass density (kg/m3): 2758
Volume (A^3/atom): 40.19
E_form (eV/atom): 0.588

5.
The following is a DFT calculation (meta-GGA SCAN) of a PBEsol-optimized structure of ScTc2Ru.

Structure (CIF):
```
data_ScTc2Ru
_chemical_formula_sum 'Sc3 Tc6 Ru3'
_cell_length_a 2.7807
_cell_length_b 2.7807
_cell_length_c 27.0258
_cell_angle_alpha 90.00
_cell_angle_beta 90.00
_cell_angle_gamma 120.00
_space_group_name_H-M_alt 'R -3 m'
_space_group_IT_number 166
_space_group_name_Hall '-R 3 2"'
loop_
_atom_site_label
_atom_site_fract_x
_atom_site_fract_y
_atom_site_fract_z
Sc1 0.0000 0.0000 0.0000
Tc1 0.0000 0.0000 0.2442
Ru1 0.0000 0.0000 0.5000
```

Results
Mass density (kg/m3): 9415
Volume (A^3/atom): 15.08
E_form (eV/atom): 0.204

6.
The following is a DFT calculation (meta-GGA SCAN) of a PBEsol-optimized structure of ZnRe4Se.

Structure (CIF):
```
data_ZnRe4Se
_chemical_formula_sum 'Zn4 Re16 Se4'
_cell_length_a 7.316
_cell_length_b 7.316
_cell_length_c 7.316
_cell_angle_alpha 90.00
_cell_angle_beta 90.00
_cell_angle_gamma 90.00
_space_group_name_H-M_alt 'F -4 3 m'
_space_group_IT_number 216
_space_group_name_Hall 'F -4 2 3'
loop_
_atom_site_label
_atom_site_fract_x
_atom_site_fract_y
_atom_site_fract_z
Zn1 0.000 0.000 0.000
Re1 0.124 0.124 0.624
Se1 0.250 0.250 0.250
```

Results
Mass density (kg/m3): 15084
Volume (A^3/atom): 16.31
Formation energy from raw total energies (eV per atom): 0.8657